--- w ---
VASP calculation (GGA-PBE) on a relaxed structure of Sm2PbI.

Cell: 3.712 3.712 8.486 Å, 90.00 90.00 90.00°
Space group P4/mmm (No. 123)
Symmetry-distinct sites (fractional):
Sm 0.000 0.000 0.249 x2
Pb 0.500 0.500 0.000 x1
I 0.500 0.500 0.500 x1



--- x ---
VASP calculation (GGA-PBE) on a relaxed structure of Sm2PbI.

Cell: 6.257 5.389 9.389 Å, 90.00 90.00 90.00°
Space group Amm2 (No. 38)
Symmetry-distinct sites (fractional):
Sm 0.000 0.000 0.000 x2
Sm 0.500 0.000 0.333 x2
Pb 0.500 0.000 0.000 x2
I 0.000 0.000 0.332 x2



--- y ---
VASP calculation (GGA-PBE) on a relaxed structure of Sm2PbI.

Cell: 4.4764 4.4764 23.4958 Å, 90.00 90.00 120.00°
Space group R3m (No. 160, hexagonal axes)
Symmetry-distinct sites (fractional):
Sm 0.0000 0.0000 0.0000 x3
Sm 0.0000 0.0000 0.1893 x3
Pb 0.0000 0.0000 0.5964 x3
I 0.0000 0.0000 0.4263 x3



--- z ---
VASP calculation (GGA-PBE) on a relaxed structure of Sm2PbI.

Cell: 4.6087 4.6087 21.7186 Å, 90.00 90.00 120.00°
Space group R-3m (No. 166, hexagonal axes)
Symmetry-distinct sites (fractional):
Sm 0.0000 0.0000 0.2413 x6
Pb 0.0000 0.0000 0.5000 x3
I 0.0000 0.0000 0.0000 x3



Of the structures shown above, x is the least stable.